Entry 1:
! CeThGeS, relaxed, DFT PBE; values from VASP
! size of the total moment = 0.311 μB per formula unit
! uncorrected formation energy = -1359 meV per atom
! final energy = -27.5 eV per cell
! Fermi-level density of states = 4.8 states/eV per cell
&SYSTEM
  ibrav = 0, nat = 4, ntyp = 4
/
ATOMIC_SPECIES
Ce 140.12 Ce.upf
S 32.06 S.upf
Ge 72.64 Ge.upf
Th 232.04 Th.upf
ATOMIC_POSITIONS crystal
Ce 0.9418 0.9418 0.1747
S 0.1952 0.1952 0.4144
Ge 0.6926 0.6926 0.9222
Th 0.4469 0.4469 0.6594
CELL_PARAMETERS angstrom
4.1930 0.0000 0.0000
2.0965 3.6313 0.0000
2.0965 1.2104 6.6883

Entry 2:
! CeTl2GeS4, relaxed, DFT PBE; values from VASP
! size of the total moment = 0.139 μB per formula unit
! uncorrected formation energy = -869 meV per atom
! final energy = -38.7 eV per cell
&SYSTEM
  ibrav = 0, nat = 8, ntyp = 4
/
ATOMIC_SPECIES
S 32.06 S.upf
Tl 204.38 Tl.upf
Ge 72.64 Ge.upf
Ce 140.12 Ce.upf
ATOMIC_POSITIONS crystal
S 0.5000 0.6966 0.2665
S 0.5000 0.3034 0.7335
S 0.0000 0.6936 0.7641
S 0.0000 0.3064 0.2359
Tl 0.0000 0.0000 0.0000
Tl 0.5000 0.0000 0.5000
Ge 0.5000 0.5000 0.0000
Ce 0.0000 0.5000 0.5000
CELL_PARAMETERS angstrom
4.0810 0.0000 0.0000
0.0000 7.6821 -0.4155
0.0000 2.4441 6.5623